Entry 1:
The following is a PBE calculation of a relaxed Sr2BrCl crystal, from Alexandria via LeMat-Bulk.

Computed properties:
The calculation puts the energy relative to the elements, uncorrected at -1.200 eV per atom.

Structure (POSCAR):
```
Sr2BrCl
1.0
7.8873 0.0000 0.0000
0.0000 7.8873 0.0000
0.0000 0.0000 7.8873
Sr Br Cl
8 4 4
Direct
0.2500 0.2500 0.2500
0.2500 0.2500 0.7500
0.2500 0.7500 0.2500
0.2500 0.7500 0.7500
0.7500 0.2500 0.2500
0.7500 0.2500 0.7500
0.7500 0.7500 0.2500
0.7500 0.7500 0.7500
0.0000 0.0000 0.0000
0.0000 0.5000 0.5000
0.5000 0.0000 0.5000
0.5000 0.5000 0.0000
0.0000 0.0000 0.5000
0.0000 0.5000 0.0000
0.5000 0.0000 0.0000
0.5000 0.5000 0.5000
```



Entry 2:
The following is a PBE calculation of a relaxed Pm4Y8Er crystal, from Alexandria via LeMat-Bulk.

Computed properties:
The value obtained for the formation energy is 207 meV per atom.

Structure (POSCAR):
```
Pm4Y8Er
1.0
3.6928 2.1320 9.1772
-3.6928 2.1320 9.1772
0.0000 -4.2641 9.1772
Pm Y Er
4 8 1
Direct
0.0000 0.0000 0.0000
0.0000 0.5000 0.5000
0.5000 0.0000 0.5000
0.5000 0.5000 0.0000
0.1968 0.7492 0.7492
0.2152 0.2152 0.2152
0.2508 0.2508 0.8032
0.2508 0.8032 0.2508
0.7492 0.1968 0.7492
0.7492 0.7492 0.1968
0.7848 0.7848 0.7848
0.8032 0.2508 0.2508
0.5000 0.5000 0.5000
```



Entry 3:
The following is a PBE calculation of a relaxed Tl3InS2 crystal, from Alexandria via LeMat-Bulk.

Computed properties:
The calculation puts the energy relative to the elements, uncorrected at -0.324 eV per atom.

Structure (POSCAR):
```
Tl3InS2
1.0
8.6976 -2.0427 0.0000
8.6976 2.0427 0.0000
-7.7468 0.0000 10.4690
Tl In S
6 2 4
Direct
0.0624 0.0624 0.1929
0.1939 0.1939 0.5885
0.3278 0.3278 0.9503
0.6722 0.6722 0.0497
0.8061 0.8061 0.4115
0.9376 0.9376 0.8071
0.4366 0.4366 0.3299
0.5634 0.5634 0.6701
0.1272 0.1272 0.8552
0.3847 0.3847 0.6157
0.6153 0.6153 0.3843
0.8728 0.8728 0.1448
```



Entry 4:
The following is a PBE calculation of a relaxed Nd3InH crystal, from Alexandria via LeMat-Bulk.

Computed properties:
As for the total energy: -4.3396 eV per atom.

Structure (POSCAR):
```
Nd3InH
1.0
4.9710 -7.9094 0.0000
4.9710 7.9094 0.0000
0.0000 0.0000 6.7958
Nd In H
12 4 4
Direct
0.0436 0.9564 0.7519
0.1425 0.3575 0.7500
0.2403 0.7597 0.4874
0.2597 0.7403 0.9874
0.3575 0.1425 0.2500
0.4564 0.5436 0.2519
0.5436 0.4564 0.7481
0.6425 0.8575 0.7500
0.7403 0.2597 0.0126
0.7597 0.2403 0.5126
0.8575 0.6425 0.2500
0.9564 0.0436 0.2481
0.0799 0.4201 0.2500
0.4201 0.0799 0.7500
0.5799 0.9201 0.2500
0.9201 0.5799 0.7500
0.0894 0.9106 0.4130
0.4106 0.5894 0.9130
0.5894 0.4106 0.0870
0.9106 0.0894 0.5870
```



Entry 5:
The following is a PBE calculation of a relaxed PrCN3 crystal, from Alexandria via LeMat-Bulk.

Computed properties:
The calculation puts the energy relative to the elements, uncorrected at -0.168 eV per atom.

Structure (POSCAR):
```
PrCN3
1.0
4.1524 0.0000 0.0000
0.0000 5.3437 0.0000
-1.5641 0.0000 6.3162
Pr C N
2 2 6
Direct
0.1607 0.2500 0.2904
0.8393 0.7500 0.7096
0.2854 0.2500 0.7574
0.7146 0.7500 0.2426
0.1212 0.2500 0.9088
0.3469 0.0292 0.6779
0.3469 0.4708 0.6779
0.6531 0.5292 0.3221
0.6531 0.9708 0.3221
0.8788 0.7500 0.0912
```



Entry 6:
The following is a PBE calculation of a relaxed Tb2PrPu crystal, from Alexandria via LeMat-Bulk.

Computed properties:
The value obtained for the formation energy is 114 meV per atom.

Structure (POSCAR):
```
Tb2PrPu
1.0
3.5732 0.0000 0.0000
-1.7866 3.0945 0.0000
0.0000 0.0000 34.7178
Tb Pr Pu
6 3 3
Direct
0.0000 0.0000 0.0000
0.0000 0.0000 0.1728
0.3333 0.6667 0.6667
0.3333 0.6667 0.8395
0.6667 0.3333 0.3333
0.6667 0.3333 0.5061
0.0000 0.0000 0.4203
0.3333 0.6667 0.0870
0.6667 0.3333 0.7536
0.0000 0.0000 0.5860
0.3333 0.6667 0.2527
0.6667 0.3333 0.9193
```



Entry 7:
The following is a PBE calculation of a relaxed CaPaIrAu crystal, from Alexandria via LeMat-Bulk.

Computed properties:
The value obtained for the formation energy is -450 meV per atom.

Structure (POSCAR):
```
CaPaIrAu
1.0
7.0435 0.0000 0.0000
0.0000 7.0435 0.0000
0.0000 0.0000 7.0435
Ca Pa Ir Au
4 4 4 4
Direct
0.0000 0.0000 0.0000
0.0000 0.5000 0.5000
0.5000 0.0000 0.5000
0.5000 0.5000 0.0000
0.0000 0.0000 0.5000
0.0000 0.5000 0.0000
0.5000 0.0000 0.0000
0.5000 0.5000 0.5000
0.2500 0.2500 0.2500
0.2500 0.7500 0.7500
0.7500 0.2500 0.7500
0.7500 0.7500 0.2500
0.2500 0.2500 0.7500
0.2500 0.7500 0.2500
0.7500 0.2500 0.2500
0.7500 0.7500 0.7500
```



Entry 8:
The following is a PBE calculation of a relaxed Nd3Co3Cu crystal, from Alexandria via LeMat-Bulk.

Computed properties:
The value obtained for the formation energy is -85 meV per atom.

Structure (POSCAR):
```
Nd3Co3Cu
1.0
2.1855 -5.0786 0.0000
2.1855 5.0786 0.0000
0.0000 0.0000 12.6200
Nd Co Cu
6 6 2
Direct
0.0176 0.9824 0.7500
0.2745 0.7255 0.1035
0.2745 0.7255 0.3965
0.7255 0.2745 0.6035
0.7255 0.2745 0.8965
0.9824 0.0176 0.2500
0.3278 0.6722 0.7500
0.4351 0.5649 0.5849
0.4351 0.5649 0.9151
0.5649 0.4351 0.0849
0.5649 0.4351 0.4151
0.6722 0.3278 0.2500
0.0000 0.0000 0.0000
0.0000 0.0000 0.5000
```



Entry 9:
The following is a PBE calculation of a relaxed HoErRuRh crystal, from Alexandria via LeMat-Bulk.

Computed properties:
The value obtained for the formation energy is -677 meV per atom.

Structure (POSCAR):
```
HoErRuRh
1.0
6.7759 0.0000 0.0000
0.0000 6.7759 0.0000
0.0000 0.0000 6.7759
Ho Er Ru Rh
4 4 4 4
Direct
0.0000 0.0000 0.0000
0.0000 0.5000 0.5000
0.5000 0.0000 0.5000
0.5000 0.5000 0.0000
0.0000 0.0000 0.5000
0.0000 0.5000 0.0000
0.5000 0.0000 0.0000
0.5000 0.5000 0.5000
0.2500 0.2500 0.2500
0.2500 0.7500 0.7500
0.7500 0.2500 0.7500
0.7500 0.7500 0.2500
0.2500 0.2500 0.7500
0.2500 0.7500 0.2500
0.7500 0.2500 0.2500
0.7500 0.7500 0.7500
```



Entry 10:
The following is a PBE calculation of a relaxed La8CuPt3Cl4 crystal, from Alexandria via LeMat-Bulk.

Computed properties:
The calculation puts the energy relative to the elements, uncorrected at -1.278 eV per atom.

Structure (POSCAR):
```
La8CuPt3Cl4
1.0
4.2557 2.4570 7.4651
-4.2557 2.4570 7.4651
0.0000 -4.9141 7.4651
La Cu Pt Cl
8 1 3 4
Direct
0.2355 0.7399 0.7399
0.2387 0.2387 0.2387
0.2601 0.2601 0.7645
0.2601 0.7645 0.2601
0.7399 0.2355 0.7399
0.7399 0.7399 0.2355
0.7613 0.7613 0.7613
0.7645 0.2601 0.2601
0.5000 0.5000 0.5000
0.0000 0.0000 0.5000
0.0000 0.5000 0.0000
0.5000 0.0000 0.0000
0.0000 0.0000 0.0000
0.0000 0.5000 0.5000
0.5000 0.0000 0.5000
0.5000 0.5000 0.0000
```



Entry 11:
The following is a PBE calculation of a relaxed MgSc2Ag crystal, from Alexandria via LeMat-Bulk.

Computed properties:
The value obtained for the formation energy is 211 meV per atom.

Structure (POSCAR):
```
MgSc2Ag
1.0
8.0130 0.0000 0.0000
0.0000 8.0130 0.0000
0.0000 0.0000 5.8467
Mg Sc Ag
4 8 4
Direct
0.0000 0.0000 0.0000
0.0000 0.5000 0.2500
0.5000 0.0000 0.7500
0.5000 0.5000 0.5000
0.2147 0.7500 0.6250
0.2500 0.2147 0.3750
0.2500 0.2853 0.8750
0.2853 0.7500 0.1250
0.7147 0.2500 0.1250
0.7500 0.7147 0.8750
0.7500 0.7853 0.3750
0.7853 0.2500 0.6250
0.0000 0.0000 0.5000
0.0000 0.5000 0.7500
0.5000 0.0000 0.2500
0.5000 0.5000 0.0000
```



Entry 12:
The following is a PBE calculation of a relaxed HgRhO2 crystal, from Alexandria via LeMat-Bulk.

Computed properties:
The calculation puts the energy relative to the elements, uncorrected at -0.260 eV per atom.

Structure (POSCAR):
```
HgRhO2
1.0
4.9848 0.0000 0.0000
0.0000 9.1327 0.0000
-0.0593 0.0000 6.1479
Hg Rh O
4 4 8
Direct
0.0000 0.1361 0.2500
0.0000 0.8639 0.7500
0.5000 0.3639 0.7500
0.5000 0.6361 0.2500
0.0000 0.4894 0.7500
0.0000 0.5106 0.2500
0.5000 0.0106 0.2500
0.5000 0.9894 0.7500
0.0004 0.3653 0.0221
0.9996 0.3653 0.4779
0.0004 0.6347 0.5221
0.9996 0.6347 0.9779
0.5004 0.1347 0.5221
0.4996 0.1347 0.9779
0.5004 0.8653 0.0221
0.4996 0.8653 0.4779
```



Entry 13:
The following is a PBE calculation of a relaxed NaCuSO4 crystal, from Alexandria via LeMat-Bulk.

Computed properties:
The calculation puts the energy relative to the elements, uncorrected at -1.300 eV per atom.

Structure (POSCAR):
```
NaCuSO4
1.0
5.2827 0.0000 0.0000
0.0000 5.2827 0.0000
0.0000 0.0000 7.4055
Na Cu S O
2 2 2 8
Direct
0.0000 0.0000 0.0000
0.5000 0.5000 0.5000
0.0000 0.0000 0.5000
0.5000 0.5000 0.0000
0.0000 0.5000 0.2500
0.5000 0.0000 0.7500
0.1468 0.6822 0.3643
0.1822 0.3532 0.1357
0.3178 0.1468 0.6357
0.3532 0.8178 0.8643
0.6468 0.1822 0.8643
0.6822 0.8532 0.6357
0.8178 0.6468 0.1357
0.8532 0.3178 0.3643
```



Entry 14:
The following is a PBE calculation of a relaxed KOs5 crystal, from Alexandria via LeMat-Bulk.

Computed properties:
The value obtained for the formation energy is 1020 meV per atom.

Structure (POSCAR):
```
KOs5
1.0
5.2785 0.0000 0.0000
-2.6393 4.5713 0.0000
0.0000 0.0000 4.4048
K Os
1 5
Direct
0.0000 0.0000 0.0000
0.0000 0.5000 0.5000
0.3333 0.6667 0.0000
0.5000 0.0000 0.5000
0.5000 0.5000 0.5000
0.6667 0.3333 0.0000
```



Entry 15:
The following is a PBE calculation of a relaxed MgBe2Al crystal, from Alexandria via LeMat-Bulk.

Computed properties:
The value obtained for the formation energy is 48 meV per atom.

Structure (POSCAR):
```
MgBe2Al
1.0
3.5650 0.0000 0.0000
0.0000 14.5425 0.0000
0.0000 0.0000 4.3224
Mg Be Al
4 8 4
Direct
0.0000 0.1835 0.2500
0.0000 0.8165 0.7500
0.5000 0.3165 0.7500
0.5000 0.6835 0.2500
0.0000 0.0000 0.0000
0.0000 0.0000 0.5000
0.0000 0.4573 0.7500
0.0000 0.5427 0.2500
0.5000 0.0427 0.2500
0.5000 0.5000 0.0000
0.5000 0.5000 0.5000
0.5000 0.9573 0.7500
0.0000 0.3809 0.2500
0.0000 0.6191 0.7500
0.5000 0.1191 0.7500
0.5000 0.8809 0.2500
```



Entry 16:
The following is a PBE calculation of a relaxed TbNdEr2Ag4 crystal, from Alexandria via LeMat-Bulk.

Computed properties:
The value obtained for the formation energy is -303 meV per atom.

Structure (POSCAR):
```
TbNdEr2Ag4
1.0
2.5832 1.4914 8.4719
-2.5832 1.4914 8.4719
0.0000 -2.9828 8.4719
Tb Nd Er Ag
1 1 2 4
Direct
0.0000 0.0000 0.0000
0.5000 0.5000 0.5000
0.2508 0.2508 0.2508
0.7492 0.7492 0.7492
0.1222 0.1222 0.1222
0.3732 0.3732 0.3732
0.6268 0.6268 0.6268
0.8778 0.8778 0.8778
```



Entry 17:
The following is a PBE calculation of a relaxed Rb3LiTl3I8 crystal, from Alexandria via LeMat-Bulk.

Computed properties:
The calculation puts the energy relative to the elements, uncorrected at -0.964 eV per atom.

Structure (POSCAR):
```
Rb3LiTl3I8
1.0
5.1689 2.9842 7.7804
-5.1689 2.9842 7.7804
0.0000 -5.9685 7.7804
Rb Li Tl I
3 1 3 8
Direct
0.0000 0.5000 0.5000
0.5000 0.0000 0.5000
0.5000 0.5000 0.0000
0.0000 0.0000 0.0000
0.0000 0.0000 0.5000
0.0000 0.5000 0.0000
0.5000 0.0000 0.0000
0.2043 0.7824 0.7824
0.2176 0.2176 0.7957
0.2176 0.7957 0.2176
0.2455 0.2455 0.2455
0.7545 0.7545 0.7545
0.7824 0.2043 0.7824
0.7824 0.7824 0.2043
0.7957 0.2176 0.2176
```



Entry 18:
The following is a PBE calculation of a relaxed SmLuTh crystal, from Alexandria via LeMat-Bulk.

Computed properties:
The value obtained for the formation energy is 35 meV per atom.

Structure (POSCAR):
```
SmLuTh
1.0
3.5797 0.0000 0.0000
0.0000 3.5797 0.0000
0.0000 0.0000 14.9460
Sm Lu Th
2 2 2
Direct
0.0000 0.0000 0.0000
0.5000 0.5000 0.5000
0.0000 0.0000 0.6776
0.5000 0.5000 0.1776
0.0000 0.0000 0.3352
0.5000 0.5000 0.8352
```



Entry 19:
The following is a PBE calculation of a relaxed Si2WSe crystal, from Alexandria via LeMat-Bulk.

Computed properties:
The calculation puts the energy relative to the elements, uncorrected at 0.279 eV per atom.

Structure (POSCAR):
```
Si2WSe
1.0
3.2507 0.0000 0.0000
0.0000 3.2507 0.0000
0.0000 0.0000 6.0035
Si W Se
2 1 1
Direct
0.0000 0.0000 0.2133
0.0000 0.0000 0.7867
0.5000 0.5000 0.0000
0.5000 0.5000 0.5000
```



Entry 20:
The following is a PBE calculation of a relaxed La2PrGe2 crystal, from Alexandria via LeMat-Bulk.

Computed properties:
The value obtained for the formation energy is -745 meV per atom.

Structure (POSCAR):
```
La2PrGe2
1.0
8.0034 0.0000 0.0000
0.0000 8.0034 0.0000
0.0000 0.0000 4.4711
La Pr Ge
4 2 4
Direct
0.1738 0.3262 0.0000
0.3262 0.8262 0.0000
0.6738 0.1738 0.0000
0.8262 0.6738 0.0000
0.0000 0.0000 0.5000
0.5000 0.5000 0.5000
0.1186 0.6186 0.5000
0.3814 0.1186 0.5000
0.6186 0.8814 0.5000
0.8814 0.3814 0.5000
```